Entry 1:
# CoAgBiPd (GGA-PBE, optimized geometry)
data_CoAgBiPd
_chemical_formula_sum 'Co1 Ag1 Bi1 Pd1'
_symmetry_space_group_name_H-M 'P 1'
_symmetry_Int_Tables_number 1
_cell_length_a 4.618
_cell_length_b 4.618
_cell_length_c 4.618
_cell_angle_alpha 60.00
_cell_angle_beta 60.00
_cell_angle_gamma 60.00
loop_
_symmetry_equiv_pos_as_xyz
'x,y,z'
loop_
_atom_site_label
_atom_site_type_symbol
_atom_site_fract_x
_atom_site_fract_y
_atom_site_fract_z
Ag1 Ag 0.500 0.500 0.500
Bi1 Bi 0.000 0.000 0.000
Co1 Co 0.750 0.750 0.750
Pd1 Pd 0.250 0.250 0.250
# energy = -4.628 eV/atom
# SG = F-43m


Entry 2:
# DyInHgO3 (GGA-PBE, optimized geometry)
data_DyInHgO3
_chemical_formula_sum 'Dy2 In2 Hg2 O6'
_symmetry_space_group_name_H-M 'P 1'
_symmetry_Int_Tables_number 1
_cell_length_a 3.467
_cell_length_b 7.294
_cell_length_c 8.316
_cell_angle_alpha 90.00
_cell_angle_beta 90.00
_cell_angle_gamma 76.25
loop_
_symmetry_equiv_pos_as_xyz
'x,y,z'
loop_
_atom_site_label
_atom_site_type_symbol
_atom_site_fract_x
_atom_site_fract_y
_atom_site_fract_z
Dy1 Dy 0.000 0.000 0.000
Dy2 Dy 0.000 0.000 0.500
Hg1 Hg 0.692 0.615 0.250
Hg2 Hg 0.308 0.385 0.750
In1 In 0.350 0.299 0.250
In2 In 0.650 0.701 0.750
O1 O 0.603 0.794 0.018
O2 O 0.944 0.111 0.250
O3 O 0.603 0.794 0.482
O4 O 0.397 0.206 0.518
O5 O 0.056 0.889 0.750
O6 O 0.397 0.206 0.982
# energy = -5.623 eV/atom
# SG = Cmcm


Entry 3:
# GaFeWAu (GGA-PBE, optimized geometry)
data_GaFeWAu
_chemical_formula_sum 'Ga1 Fe1 W1 Au1'
_symmetry_space_group_name_H-M 'P 1'
_symmetry_Int_Tables_number 1
_cell_length_a 4.422
_cell_length_b 4.422
_cell_length_c 4.422
_cell_angle_alpha 60.00
_cell_angle_beta 60.00
_cell_angle_gamma 60.00
loop_
_symmetry_equiv_pos_as_xyz
'x,y,z'
loop_
_atom_site_label
_atom_site_type_symbol
_atom_site_fract_x
_atom_site_fract_y
_atom_site_fract_z
Au1 Au 0.250 0.250 0.250
Fe1 Fe 0.750 0.750 0.750
Ga1 Ga 0.000 0.000 0.000
W1 W 0.500 0.500 0.500
# energy = -6.475 eV/atom
# SG = F-43m